Record 1
DFT (PBE) results for Ho4MgCd2 after structural relaxation.

```
Ho4MgCd2
1.0
2.650 1.530 8.659
-2.650 1.530 8.659
0.000 -3.060 8.659
Ho Mg Cd
4 1 2
Cartesian
0.000 0.000 3.324 Ho
0.000 0.000 7.239 Ho
0.000 0.000 18.738 Ho
0.000 0.000 22.653 Ho
0.000 0.000 12.989 Mg
0.000 0.000 10.322 Cd
0.000 0.000 15.655 Cd
```

Record 2
DFT (PBE) results for HoMg2Cd10 after structural relaxation.

```
HoMg2Cd10
1.0
0.000 6.935 6.982
3.024 0.000 6.982
3.024 6.935 0.000
Ho Mg Cd
1 2 10
Cartesian
0.000 0.000 0.000 Ho
1.512 0.000 3.491 Mg
1.512 6.935 3.491 Mg
1.512 3.468 0.000 Cd
3.024 4.558 2.439 Cd
3.024 5.460 5.469 Cd
3.024 9.313 2.439 Cd
3.024 8.410 5.469 Cd
1.512 3.468 6.982 Cd
3.024 5.460 8.495 Cd
3.024 4.558 11.525 Cd
3.024 8.410 8.495 Cd
3.024 9.313 11.525 Cd
```

Record 3
DFT (PBE) results for Ho3Mg4Cd2 after structural relaxation.

```
Ho3Mg4Cd2
1.0
5.540 -2.554 0.000
5.540 2.554 0.000
-5.096 0.000 7.932
Ho Mg Cd
3 4 2
Cartesian
0.000 0.000 0.000 Ho
2.004 0.000 2.643 Ho
3.980 0.000 5.289 Ho
-1.319 0.000 3.106 Mg
-1.687 0.000 7.515 Mg
7.671 0.000 0.417 Mg
7.303 0.000 4.826 Mg
0.631 0.000 5.733 Cd
5.353 0.000 2.199 Cd
```

Record 4
DFT (PBE) results for Ho3MgCd after structural relaxation.

```
Ho3MgCd
1.0
2.581 -10.293 0.000
2.581 10.293 0.000
0.000 0.000 5.162
Ho Mg Cd
6 2 2
Cartesian
2.581 9.114 3.872 Ho
2.581 5.156 3.872 Ho
2.581 1.241 3.872 Ho
2.581 -1.241 1.291 Ho
2.581 -5.156 1.291 Ho
2.581 -9.114 1.291 Ho
2.581 7.121 1.291 Mg
2.581 -7.121 3.872 Mg
2.581 3.245 1.291 Cd
2.581 -3.245 3.872 Cd
```

Record 5
DFT (PBE) results for Ho2MgCd3 after structural relaxation.

```
Ho2MgCd3
1.0
5.132 0.000 0.000
-2.566 4.445 0.000
0.000 0.000 12.736
Ho Mg Cd
4 2 6
Cartesian
0.000 0.000 0.000 Ho
0.000 0.000 6.368 Ho
0.000 2.963 2.218 Ho
2.566 1.482 10.518 Ho
0.000 2.963 8.438 Mg
2.566 1.482 4.297 Mg
0.000 0.000 3.242 Cd
0.000 0.000 9.494 Cd
0.000 2.963 5.334 Cd
0.000 2.963 11.650 Cd
2.566 1.482 1.086 Cd
2.566 1.482 7.402 Cd
```

Record 6
DFT (PBE) results for Ho2Mg3Cd4 after structural relaxation.

```
Ho2Mg3Cd4
1.0
4.376 -2.531 0.000
4.376 2.531 0.000
-0.041 0.000 9.538
Ho Mg Cd
2 3 4
Cartesian
1.443 0.000 2.734 Ho
7.267 0.000 6.804 Ho
1.427 0.000 8.880 Mg
4.355 0.000 4.769 Mg
7.284 0.000 0.658 Mg
1.435 0.000 5.792 Cd
4.359 0.000 1.498 Cd
4.352 0.000 8.040 Cd
7.275 0.000 3.746 Cd
```

Record 7
DFT (PBE) results for Ho2Mg3Cd3 after structural relaxation.

```
Ho2Mg3Cd3
1.0
2.545 1.469 8.327
-2.545 1.469 8.327
0.000 -2.939 8.327
Ho Mg Cd
2 3 3
Cartesian
0.000 0.000 0.000 Ho
0.000 0.000 12.356 Ho
0.000 0.000 6.152 Mg
0.000 0.000 15.520 Mg
0.000 0.000 18.681 Mg
0.000 0.000 3.075 Cd
0.000 0.000 9.217 Cd
0.000 0.000 21.877 Cd
```

Record 8
DFT (PBE) results for HoMgCd after structural relaxation.

```
HoMgCd
1.0
3.453 0.000 0.000
0.000 5.330 0.000
-0.066 0.000 4.659
Ho Mg Cd
1 1 1
Cartesian
0.000 0.000 0.000 Ho
-0.033 2.665 2.329 Mg
1.727 2.665 0.000 Cd
```

Record 9
DFT (PBE) results for Ho2MgCd8 after structural relaxation.

```
Ho2MgCd8
1.0
8.219 -2.372 0.000
8.219 2.372 0.000
-1.674 0.000 6.555
Ho Mg Cd
2 1 8
Cartesian
3.349 0.000 1.044 Ho
11.415 0.000 5.511 Ho
7.382 0.000 3.277 Mg
0.082 0.000 1.479 Cd
1.302 0.000 4.328 Cd
4.536 0.000 4.012 Cd
6.553 0.000 0.423 Cd
8.211 0.000 6.132 Cd
10.228 0.000 2.543 Cd
13.462 0.000 2.227 Cd
14.682 0.000 5.076 Cd
```

Record 10
DFT (PBE) results for Ho4MgCd5 after structural relaxation.

```
Ho4MgCd5
1.0
3.687 0.000 0.000
0.000 3.687 0.000
0.000 0.000 18.410
Ho Mg Cd
4 1 5
Cartesian
0.000 0.000 1.891 Ho
0.000 0.000 5.655 Ho
0.000 0.000 12.755 Ho
0.000 0.000 16.519 Ho
0.000 0.000 9.205 Mg
1.843 1.843 0.000 Cd
1.843 1.843 3.758 Cd
1.843 1.843 7.563 Cd
1.843 1.843 10.847 Cd
1.843 1.843 14.651 Cd
```

Record 11
DFT (PBE) results for HoMgCd after structural relaxation.

```
HoMgCd
1.0
3.509 0.000 0.000
0.000 3.518 0.000
-0.002 0.000 12.104
Ho Mg Cd
2 2 2
Cartesian
0.000 0.000 0.000 Ho
1.754 1.759 2.508 Ho
1.745 1.759 6.317 Mg
3.499 0.000 8.283 Mg
1.749 1.759 10.016 Cd
3.505 0.000 4.593 Cd
```

Record 12
DFT (PBE) results for HoMg3Cd3 after structural relaxation.

```
HoMg3Cd3
1.0
8.701 0.000 0.000
0.000 8.701 0.000
0.000 0.000 8.701
Ho Mg Cd
4 12 12
Cartesian
0.416 3.934 4.767 Ho
3.934 4.767 0.416 Ho
4.767 0.416 3.934 Ho
8.285 8.285 8.285 Ho
1.129 5.480 7.571 Mg
1.472 1.472 1.472 Mg
1.661 7.040 2.689 Mg
2.689 1.661 7.040 Mg
2.878 7.228 5.823 Mg
3.221 3.221 3.221 Mg
5.480 7.571 1.129 Mg
5.823 2.878 7.228 Mg
6.011 6.011 6.011 Mg
7.040 2.689 1.661 Mg
7.228 5.823 2.878 Mg
7.571 1.129 5.480 Mg
0.058 2.718 7.799 Cd
0.902 4.408 1.632 Cd
1.632 0.902 4.408 Cd
2.718 7.799 0.058 Cd
3.448 4.293 5.982 Cd
4.293 5.982 3.448 Cd
4.408 1.632 0.902 Cd
5.253 8.643 7.069 Cd
5.982 3.448 4.293 Cd
7.069 5.253 8.643 Cd
7.799 0.058 2.718 Cd
8.643 7.069 5.253 Cd
```

Record 13
DFT (PBE) results for HoMg6Cd6 after structural relaxation.

```
HoMg6Cd6
1.0
-2.942 4.974 5.008
2.942 -4.974 5.008
2.942 4.974 -5.008
Ho Mg Cd
1 6 6
Cartesian
0.000 0.000 0.000 Ho
2.942 0.000 2.076 Mg
0.000 0.000 3.495 Mg
0.000 3.483 0.000 Mg
0.000 6.465 0.000 Mg
0.000 0.000 6.520 Mg
0.000 4.974 2.931 Mg
1.471 2.487 -2.504 Cd
1.471 -2.487 2.504 Cd
2.942 2.110 0.000 Cd
-1.471 2.487 2.504 Cd
1.471 2.487 2.504 Cd
0.000 2.864 5.008 Cd
```

Record 14
DFT (PBE) results for HoMgCd11 after structural relaxation.

```
HoMgCd11
1.0
2.993 -6.999 0.000
2.993 6.999 0.000
-2.980 0.000 7.004
Ho Mg Cd
1 1 11
Cartesian
0.000 0.000 0.000 Ho
-1.490 0.000 3.502 Mg
1.496 3.499 0.000 Cd
0.028 4.572 4.555 Cd
-0.031 1.482 5.507 Cd
2.977 4.572 2.449 Cd
-0.031 -1.482 5.507 Cd
1.496 -3.499 0.000 Cd
1.503 0.000 3.502 Cd
3.037 1.482 1.497 Cd
0.028 -4.572 4.555 Cd
3.037 -1.482 1.497 Cd
2.977 -4.572 2.449 Cd
```

Record 15
DFT (PBE) results for HoMg7Cd4 after structural relaxation.

```
HoMg7Cd4
1.0
6.331 -2.730 0.000
6.331 2.730 0.000
-6.026 0.000 8.491
Ho Mg Cd
1 7 4
Cartesian
0.000 0.000 0.000 Ho
-1.441 0.000 3.140 Mg
-2.566 0.000 7.520 Mg
1.794 0.000 3.436 Mg
6.331 0.000 0.000 Mg
4.842 0.000 5.055 Mg
9.202 0.000 0.970 Mg
8.076 0.000 5.350 Mg
-0.248 0.000 5.715 Cd
4.110 0.000 1.843 Cd
2.526 0.000 6.648 Cd
6.884 0.000 2.776 Cd
```

Record 16
DFT (PBE) results for HoMg2Cd6 after structural relaxation.

```
HoMg2Cd6
1.0
7.541 -5.688 0.000
7.541 5.688 0.000
0.000 0.000 5.037
Ho Mg Cd
2 4 12
Cartesian
7.541 3.513 3.777 Ho
7.541 -3.513 1.259 Ho
5.077 0.899 3.777 Mg
5.077 -0.899 1.259 Mg
10.005 0.899 3.777 Mg
10.005 -0.899 1.259 Mg
1.562 0.771 3.777 Cd
3.170 1.802 1.259 Cd
1.562 -0.771 1.259 Cd
6.106 1.949 1.259 Cd
3.170 -1.802 3.777 Cd
8.976 1.949 1.259 Cd
6.106 -1.949 3.777 Cd
11.912 1.802 1.259 Cd
8.976 -1.949 3.777 Cd
13.520 0.771 3.777 Cd
11.912 -1.802 3.777 Cd
13.520 -0.771 1.259 Cd
```

Record 17
DFT (PBE) results for HoMg4Cd15 after structural relaxation.

```
HoMg4Cd15
1.0
4.579 0.000 0.000
0.000 4.579 0.000
0.000 0.000 21.329
Ho Mg Cd
1 4 15
Cartesian
0.000 0.000 0.000 Ho
0.000 0.000 4.316 Mg
0.000 0.000 8.577 Mg
0.000 0.000 12.752 Mg
0.000 0.000 17.012 Mg
0.000 2.289 2.252 Cd
0.000 2.289 6.441 Cd
0.000 2.289 10.664 Cd
0.000 2.289 14.888 Cd
0.000 2.289 19.076 Cd
2.289 0.000 2.252 Cd
2.289 0.000 6.441 Cd
2.289 0.000 10.664 Cd
2.289 0.000 14.888 Cd
2.289 0.000 19.076 Cd
2.289 2.289 0.000 Cd
2.289 2.289 4.388 Cd
2.289 2.289 8.520 Cd
2.289 2.289 12.809 Cd
2.289 2.289 16.941 Cd
```

Record 18
DFT (PBE) results for Ho3Mg2Cd4 after structural relaxation.

```
Ho3Mg2Cd4
1.0
5.511 -2.508 0.000
5.511 2.508 0.000
-4.767 0.000 7.986
Ho Mg Cd
3 2 4
Cartesian
0.000 0.000 0.000 Ho
2.121 0.000 2.638 Ho
4.134 0.000 5.347 Ho
0.821 0.000 5.723 Mg
5.433 0.000 2.263 Mg
-1.222 0.000 3.101 Cd
-1.429 0.000 7.514 Cd
7.683 0.000 0.471 Cd
7.477 0.000 4.885 Cd
```

Record 19
DFT (PBE) results for Ho3Mg12Cd after structural relaxation.

```
Ho3Mg12Cd
1.0
4.650 0.000 0.000
0.000 4.650 0.000
0.000 0.000 17.989
Ho Mg Cd
3 12 1
Cartesian
0.000 0.000 0.000 Ho
0.000 0.000 4.716 Ho
0.000 0.000 13.273 Ho
0.000 2.325 2.359 Mg
0.000 2.325 7.003 Mg
0.000 2.325 10.986 Mg
0.000 2.325 15.630 Mg
2.325 0.000 2.359 Mg
2.325 0.000 7.003 Mg
2.325 0.000 10.986 Mg
2.325 0.000 15.630 Mg
2.325 2.325 0.000 Mg
2.325 2.325 4.771 Mg
2.325 2.325 8.995 Mg
2.325 2.325 13.218 Mg
0.000 0.000 8.995 Cd
```

Record 20
DFT (PBE) results for Ho3Mg2Cd after structural relaxation.

```
Ho3Mg2Cd
1.0
3.780 0.000 0.000
0.000 3.780 0.000
0.000 0.000 11.137
Ho Mg Cd
3 2 1
Cartesian
0.000 0.000 0.000 Ho
0.000 0.000 3.740 Ho
0.000 0.000 7.397 Ho
1.890 1.890 1.848 Mg
1.890 1.890 9.290 Mg
1.890 1.890 5.569 Cd
```

no.,energy of formation from the pure elements (eV/atom)
1,0.095
2,-0.103
3,-0.165
4,-0.141
5,-0.299
6,-0.223
7,-0.250
8,0.119
9,-0.166
10,-0.279
11,-0.162
12,-0.111
13,-0.114
14,-0.086
15,0.083
16,-0.092
17,-0.110
18,-0.251
19,-0.060
20,-0.154